Entry 1:
This record from Alexandria via LeMat-Bulk describes PrNd3Cd2 after structural relaxation. The functional is PBE.

Cell: 3.790 3.790 12.990 Å, 90.00 90.00 90.00°
Fractional coordinates of all 6 atoms:
Pr 0.000 0.000 0.000
Nd 0.500 0.500 0.196
Nd 0.500 0.500 0.500
Nd 0.500 0.500 0.804
Cd 0.000 0.000 0.347
Cd 0.000 0.000 0.653

Summary:
**V**: 187 Å³ per cell
**Space group**: P4/mmm
**Mass density**: 7.1 g/cm3
**Calculated formation energy**: -208 meV/atom


Entry 2:
This record from Alexandria via LeMat-Bulk describes Pr14NdCd after structural relaxation. The functional is PBE.

Cell: 10.429 7.320 7.320 Å, 90.00 90.00 90.00°
Fractional coordinates of all 16 atoms:
Pr 0.000 0.000 0.000
Pr 0.000 0.000 0.500
Pr 0.000 0.500 0.000
Pr 0.000 0.500 0.500
Pr 0.255 0.247 0.247
Pr 0.255 0.247 0.753
Pr 0.255 0.753 0.247
Pr 0.255 0.753 0.753
Pr 0.500 0.000 0.499
Pr 0.500 0.499 0.000
Pr 0.745 0.247 0.247
Pr 0.745 0.247 0.753
Pr 0.745 0.753 0.247
Pr 0.745 0.753 0.753
Nd 0.500 0.500 0.500
Cd 0.500 0.999 0.999

Summary:
**V**: 559 Å³ per cell
**Space group**: Amm2
**Mass density**: 6.6 g/cm3
**Calculated formation energy**: -18 meV/atom